Below is a relaxed Cs2AsBr6 crystal, with properties calculated at the PBE-GGA level.

Calculated values
SG: C2/m
Raw total energy in eV for the cell shown: -25.2
Raw formation energy in eV/f.u.: -8.826
Density of states at the Fermi level in states/eV/cell: 3.45
Total magnetization in μB per cell: 0.00

Lattice parameters (Å, degrees): 7.635 7.635 6.893 90.75 90.75 60.11
Positions (direct):
Cs 0.168 0.168 0.234
Cs 0.832 0.832 0.766
As 0.500 0.500 0.000
Br 0.178 0.663 0.212
Br 0.337 0.337 0.786
Br 0.337 0.822 0.788
Br 0.663 0.178 0.212
Br 0.663 0.663 0.214
Br 0.822 0.337 0.788



Below is a relaxed YSeO3F crystal, with properties calculated at the PBE-GGA level.

Calculated values
SG: P2_1/m
Relative energy among the computed polymorphs in eV/atom: 0.0000
Raw total energy in eV for the cell shown: -82.2
Raw formation energy in eV/f.u.: -14.408
Density of states at the Fermi level in states/eV/cell: 0.00
Total magnetization in μB per cell: 0.00

Lattice parameters (Å, degrees): 4.436 7.098 6.640 90.00 96.65 90.00
Positions (direct):
Y 0.039 0.250 0.133
Y 0.961 0.750 0.867
Se 0.177 0.750 0.355
Se 0.823 0.250 0.645
O 0.055 0.574 0.179
O 0.055 0.926 0.179
O 0.090 0.250 0.482
O 0.910 0.750 0.518
O 0.945 0.074 0.821
O 0.945 0.426 0.821
F 0.460 0.750 0.855
F 0.540 0.250 0.145